Record 1
# DyYHoTl, optimized geometry, DFT PBE-GGA
data_DyYHoTl
_chemical_formula_sum 'Dy4 Y4 Ho4 Tl4'
_cell_length_a 7.727
_cell_length_b 7.727
_cell_length_c 7.727
_cell_angle_alpha 90.00
_cell_angle_beta 90.00
_cell_angle_gamma 90.00
_symmetry_space_group_name_H-M 'F -4 3 m'
_symmetry_Int_Tables_number 216
_symmetry_space_group_name_Hall 'F -4 2 3'
loop_
_atom_site_label
_atom_site_type_symbol
_atom_site_fract_x
_atom_site_fract_y
_atom_site_fract_z
_atom_site_occupancy
Dy1 Dy 0.000 0.000 0.000 1
Y1 Y 0.000 0.000 0.500 1
Ho1 Ho 0.250 0.250 0.750 1
Tl1 Tl 0.250 0.250 0.250 1
# calculated density: 8.9 g/cm³
# calculated formation energy: -0.04 eV per atom
# excess energy over the best structure of this formula in the dataset: 145 meV/atom
# total magnetization: 1.5 μB per formula unit


Record 2
# MoIrPt2, optimized geometry, DFT PBE-GGA
data_MoIrPt2
_chemical_formula_sum 'Mo4 Ir4 Pt8'
_cell_length_a 5.807
_cell_length_b 5.807
_cell_length_c 10.721
_cell_angle_alpha 90.00
_cell_angle_beta 90.00
_cell_angle_gamma 90.00
_symmetry_space_group_name_H-M 'I -4 2 d'
_symmetry_Int_Tables_number 122
_symmetry_space_group_name_Hall 'I -4 2bw'
loop_
_atom_site_label
_atom_site_type_symbol
_atom_site_fract_x
_atom_site_fract_y
_atom_site_fract_z
_atom_site_occupancy
Mo1 Mo 0.000 0.000 0.000 1
Ir1 Ir 0.000 0.000 0.500 1
Pt1 Pt 0.248 0.250 0.125 1
# calculated density: 12.5 g/cm³
# calculated formation energy: 0.88 eV per atom
# excess energy over the best structure of this formula in the dataset: 1134 meV/atom
# total magnetization: 0.0 μB per formula unit